1.
4
Lattice="-1.8620 -0.1716 3.3251 3.3271 -0.2409 1.8507 -0.6064 3.9914 -2.3219" Properties=species:S:1:pos:R:3 comment="MoRh3 (GGA-PBEsol, optimized geometry)" vol_a3_per_atom=13.81 delta_e_f_ev_per_atom=-0.181 pbc="T T T"
Rh -0.8679 1.8068 1.7955
Rh 0.7325 -0.2062 2.5879
Rh 1.7266 1.7722 1.0583
Mo 0.0000 0.0000 0.0000


2.
6
Lattice="2.6887 0.0000 0.0000 0.0000 2.6887 0.0000 0.0000 0.0000 11.3993" Properties=species:S:1:pos:R:3 comment="MoRh5 (GGA-PBEsol, optimized geometry)" e_above_lowest_polymorph_mev_per_atom=100 vol_a3_per_atom=13.73 delta_e_f_ev_per_atom=-0.076 pbc="T T T"
Rh 1.3443 1.3443 9.5486
Rh 0.0000 0.0000 3.7996
Rh 0.0000 0.0000 0.0000
Rh 1.3443 1.3443 1.8507
Rh 0.0000 0.0000 7.5997
Mo 1.3443 1.3443 5.6997


3.
6
Lattice="2.7087 0.0000 0.0000 -1.3543 5.0350 0.0057 0.0000 -1.5703 6.2803" Properties=species:S:1:pos:R:3 comment="MoRh (GGA-PBEsol, optimized geometry)" vol_a3_per_atom=14.28 delta_e_f_ev_per_atom=-0.143 pbc="T T T"
Rh 0.0000 -0.4483 3.8356
Rh 1.3543 0.7999 5.9512
Rh 1.3543 1.1390 2.1003
Mo 0.0000 3.4700 1.7775
Mo 0.0000 -1.4667 6.2510
Mo 0.0000 2.2348 4.1720


4.
8
Lattice="-4.3242 -0.4546 0.1344 0.2099 -0.6051 4.7066 -0.5490 5.4361 0.7234" Properties=species:S:1:pos:R:3 comment="MoRh (GGA-PBEsol, optimized geometry)" vol_a3_per_atom=14.24 delta_e_f_ev_per_atom=-0.150 pbc="T T T"
Rh -3.3616 1.4476 2.3389
Rh -1.3017 2.9288 3.2255
Rh -3.1189 -0.2197 4.5106
Rh -1.5445 4.5961 1.0538
Mo -1.0248 0.1972 2.8961
Mo -1.2694 1.8829 0.7269
Mo -3.6386 4.1792 2.6683
Mo -3.3939 2.4935 4.8375


5.
4
Lattice="-1.7953 -1.9867 0.4268 3.5389 -3.2237 -0.1200 -0.3035 3.0227 4.1810" Properties=species:S:1:pos:R:3 comment="MoRh (GGA-PBEsol, optimized geometry)" vol_a3_per_atom=14.25 delta_e_f_ev_per_atom=-0.134 pbc="T T T"
Rh 0.6932 -1.7366 3.4456
Rh 0.7469 -0.4511 1.0422
Mo -0.1425 0.8349 3.2871
Mo 1.5827 -3.0226 1.2007


6.
4
Lattice="-2.3788 -0.2184 1.2501 3.0847 -2.7159 2.4879 0.7922 4.2155 2.2440" Properties=species:S:1:pos:R:3 comment="Mo3Rh (GGA-PBEsol, optimized geometry)" vol_a3_per_atom=14.87 delta_e_f_ev_per_atom=0.094 pbc="T T T"
Rh -1.1894 -0.1092 0.6251
Mo 0.4017 1.6077 3.9528
Mo 1.0963 -0.3265 2.0292
Mo 0.3961 2.1077 1.1220


7.
6
Lattice="-0.0382 -3.4090 2.6293 -0.6744 -2.8297 -3.6786 4.3563 1.0299 1.3985" Properties=species:S:1:pos:R:3 comment="MoRh5 (GGA-PBEsol, optimized geometry)" e_above_lowest_polymorph_mev_per_atom=0 vol_a3_per_atom=13.67 delta_e_f_ev_per_atom=-0.176 pbc="T T T"
Rh -0.4478 -1.8789 -2.4426
Rh 1.2371 -0.6047 -0.7661
Rh 0.9834 -3.2477 -0.6715
Rh 2.8926 0.6839 0.9286
Rh 2.6603 -1.9611 1.0208
Mo -0.0191 -1.7045 1.3147


8.
4
Lattice="2.7183 0.0000 0.0000 0.0000 4.3132 0.0000 0.0000 0.0000 4.7093" Properties=species:S:1:pos:R:3 comment="MoRh3 (GGA-PBEsol, optimized geometry)" vol_a3_per_atom=13.80 delta_e_f_ev_per_atom=-0.190 pbc="T T T"
Mo 0.0000 0.0000 0.0265
Rh 0.0000 2.1566 1.5726
Rh 1.3592 0.0000 2.3403
Rh 1.3592 2.1566 3.9102


Copy entry 2 word for word.
6
Lattice="2.6887 0.0000 0.0000 0.0000 2.6887 0.0000 0.0000 0.0000 11.3993" Properties=species:S:1:pos:R:3 comment="MoRh5 (GGA-PBEsol, optimized geometry)" e_above_lowest_polymorph_mev_per_atom=100 vol_a3_per_atom=13.73 delta_e_f_ev_per_atom=-0.076 pbc="T T T"
Rh 1.3443 1.3443 9.5486
Rh 0.0000 0.0000 3.7996
Rh 0.0000 0.0000 0.0000
Rh 1.3443 1.3443 1.8507
Rh 0.0000 0.0000 7.5997
Mo 1.3443 1.3443 5.6997